An optimized crystal structure of Rb6MnO4, computed with PBE+U.

* calculated total energy: -4.10 eV/atom
* space group: No. 186

a b c (Å): 9.1535 9.1535 6.9909
angles (deg): 90.00 90.00 120.00
With the nearest neighbours (Å) after each atom.
Fractional coordinates of all 22 atoms:
Rb 0.0763 0.5382 0.0000  5 O 2.90-3.19
Rb 0.1442 0.2884 0.3345  4 O 2.77-3.02
Rb 0.1442 0.8558 0.3345  4 O 2.77-3.02
Rb 0.2884 0.1442 0.8345  4 O 2.77-3.02
Rb 0.4618 0.5382 0.0000  5 O 2.90-3.19
Rb 0.4618 0.9237 0.0000  5 O 2.90-3.19
Rb 0.5382 0.0763 0.5000  5 O 2.90-3.19
Rb 0.5382 0.4618 0.5000  5 O 2.90-3.19
Rb 0.7116 0.8558 0.3345  4 O 2.77-3.02
Rb 0.8558 0.1442 0.8345  4 O 2.77-3.02
Rb 0.8558 0.7116 0.8345  4 O 2.77-3.02
Rb 0.9237 0.4618 0.5000  5 O 2.90-3.19
Mn 0.3333 0.6667 0.6056  4 O 2.11-2.17
Mn 0.6667 0.3333 0.1056  4 O 2.11-2.17
O 0.2041 0.4082 0.7062  1 Mn 2.17
O 0.2041 0.7959 0.7062  1 Mn 2.17
O 0.3333 0.6667 0.3043  1 Mn 2.11
O 0.4082 0.2041 0.2062  1 Mn 2.17
O 0.5918 0.7959 0.7062  1 Mn 2.17
O 0.6667 0.3333 0.8043  1 Mn 2.11
O 0.7959 0.2041 0.2062  1 Mn 2.17
O 0.7959 0.5918 0.2062  1 Mn 2.17